[1]
Crystalline Fe2OsRu at its relaxed geometry, computed with PBE.

The spin magnetization is 0.000 μB/f.u. As for the symmetry: I-42d (122). The value obtained for the volume is 17.58 Å³ per atom. As for the formation energy: 1.263 eV/atom.

Cell lengths 6.3496, 6.3496, 6.3496 Å; angles 131.48, 131.48, 71.05 degrees
Atoms (fractional coordinates):
1 Fe 0.1226 0.6250 0.9976
2 Fe 0.3750 0.3726 0.4976
3 Fe 0.6274 0.1250 0.0024
4 Fe 0.8750 0.8774 0.5024
5 Os 0.2500 0.7500 0.5000
6 Os 0.5000 0.5000 0.0000
7 Ru 0.0000 0.0000 0.0000
8 Ru 0.7500 0.2500 0.5000

---

[2]
Crystalline FeOs3Ru at its relaxed geometry, computed with PBE.

The spin magnetization is 2.355 μB/f.u. As for the symmetry: Cmcm (63). The value obtained for the volume is 14.10 Å³ per atom. As for the offset from the most stable computed form: 0 meV per atom. As for the formation energy: 0.196 eV/atom.

Cell lengths 6.3251, 6.3251, 5.4388 Å; angles 90.00, 90.00, 139.61 degrees
Atoms (fractional coordinates):
1 Fe 0.0001 0.9999 0.2500
2 Fe 0.9999 0.0001 0.7500
3 Os 0.1867 0.8133 0.5009
4 Os 0.1867 0.8133 0.9991
5 Os 0.3844 0.6156 0.7500
6 Os 0.6156 0.3844 0.2500
7 Os 0.8133 0.1867 0.0009
8 Os 0.8133 0.1867 0.4991
9 Ru 0.3869 0.6131 0.2500
10 Ru 0.6131 0.3869 0.7500

---

[3]
Crystalline Fe2OsRu at its relaxed geometry, computed with PBE.

The spin magnetization is 5.458 μB/f.u. As for the symmetry: P4/mmm (123). The value obtained for the volume is 12.98 Å³ per atom. As for the formation energy: 0.201 eV/atom.

Cell lengths 4.1934, 4.1934, 2.9524 Å; angles 90.00, 90.00, 90.00 degrees
Atoms (fractional coordinates):
1 Fe 0.0000 0.5000 0.0000
2 Fe 0.5000 0.0000 0.0000
3 Os 0.0000 0.0000 0.5000
4 Ru 0.5000 0.5000 0.5000

---

[4]
Crystalline FeOs2Ru at its relaxed geometry, computed with PBE.

The spin magnetization is 2.543 μB/f.u. As for the symmetry: Immm (71). The value obtained for the volume is 13.91 Å³ per atom. As for the offset from the most stable computed form: 190 meV per atom. As for the formation energy: 0.325 eV/atom.

Cell lengths 5.2676, 5.2676, 5.2676 Å; angles 149.21, 131.44, 58.61 degrees
Atoms (fractional coordinates):
1 Fe 0.0000 0.0000 0.0000
2 Os 0.2205 0.7205 0.5000
3 Os 0.7795 0.2795 0.5000
4 Ru 0.5000 0.5000 0.0000

---

[5]
Crystalline Fe2OsRu at its relaxed geometry, computed with PBE.

The spin magnetization is 4.470 μB/f.u. As for the symmetry: R3m (160). The value obtained for the volume is 13.16 Å³ per atom. As for the formation energy: 0.170 eV/atom.

Cell lengths 8.5639, 8.5639, 8.5639 Å; angles 18.05, 18.05, 18.05 degrees
Atoms (fractional coordinates):
1 Fe 0.0000 0.0000 0.0000
2 Fe 0.2546 0.2546 0.2546
3 Os 0.5047 0.5047 0.5047
4 Ru 0.7502 0.7502 0.7502

---

[6]
Crystalline FeOs2Ru at its relaxed geometry, computed with PBE.

The spin magnetization is 3.481 μB/f.u. As for the symmetry: Cmmm (65). The value obtained for the volume is 14.10 Å³ per atom. As for the offset from the most stable computed form: 331 meV per atom. As for the formation energy: 0.466 eV/atom.

Cell lengths 2.6552, 2.6552, 9.0077 Å; angles 90.00, 90.00, 117.37 degrees
Atoms (fractional coordinates):
1 Fe 0.0000 0.0000 0.0000
2 Os 0.5000 0.5000 0.2421
3 Os 0.5000 0.5000 0.7579
4 Ru 0.0000 0.0000 0.5000

---

[7]
Crystalline FeOs2Ru at its relaxed geometry, computed with PBE.

The spin magnetization is 0.259 μB/f.u. As for the symmetry: P4/mmm (123). The value obtained for the volume is 13.33 Å³ per atom. As for the offset from the most stable computed form: 18 meV per atom. As for the formation energy: 0.154 eV/atom.

Cell lengths 2.6757, 2.6757, 7.4499 Å; angles 90.00, 90.00, 90.00 degrees
Atoms (fractional coordinates):
1 Fe 0.0000 0.0000 0.0000
2 Os 0.5000 0.5000 0.2385
3 Os 0.5000 0.5000 0.7615
4 Ru 0.0000 0.0000 0.5000

---

[8]
Crystalline FeOs2Ru at its relaxed geometry, computed with PBE.

The spin magnetization is 0.556 μB/f.u. As for the symmetry: I4/mmm (139). The value obtained for the volume is 13.41 Å³ per atom. As for the offset from the most stable computed form: 23 meV per atom. As for the formation energy: 0.158 eV/atom.

Cell lengths 4.6230, 4.6230, 4.6230 Å; angles 131.91, 131.91, 70.37 degrees
Atoms (fractional coordinates):
1 Fe 0.0000 0.0000 0.0000
2 Os 0.2500 0.7500 0.5000
3 Os 0.7500 0.2500 0.5000
4 Ru 0.5000 0.5000 0.0000

---

[9]
Crystalline FeOs3Ru at its relaxed geometry, computed with PBE.

The spin magnetization is 0.000 μB/f.u. As for the symmetry: Pm-3m (221). The value obtained for the volume is 16.39 Å³ per atom. As for the offset from the most stable computed form: 1677 meV per atom. As for the formation energy: 1.873 eV/atom.

Cell lengths 4.3435, 4.3435, 4.3435 Å; angles 90.00, 90.00, 90.00 degrees
Atoms (fractional coordinates):
1 Fe 0.0000 0.0000 0.0000
2 Os 0.0000 0.0000 0.5000
3 Os 0.0000 0.5000 0.0000
4 Os 0.5000 0.0000 0.0000
5 Ru 0.5000 0.5000 0.5000

---

[10]
Crystalline Fe2OsRu at its relaxed geometry, computed with PBE.

The spin magnetization is 0.835 μB/f.u. As for the symmetry: Cmmm (65). The value obtained for the volume is 12.37 Å³ per atom. As for the formation energy: 0.166 eV/atom.

Cell lengths 4.4645, 4.4645, 2.6146 Å; angles 90.00, 90.00, 108.27 degrees
Atoms (fractional coordinates):
1 Fe 0.0000 0.5000 0.0000
2 Fe 0.5000 0.0000 0.0000
3 Os 0.0000 0.0000 0.5000
4 Ru 0.5000 0.5000 0.5000

---

[11]
Crystalline Fe2OsRu at its relaxed geometry, computed with PBE.

The spin magnetization is 5.322 μB/f.u. As for the symmetry: Imm2 (44). The value obtained for the volume is 12.96 Å³ per atom. As for the formation energy: 0.155 eV/atom.

Cell lengths 4.9242, 4.9242, 4.9242 Å; angles 145.38, 129.39, 62.77 degrees
Atoms (fractional coordinates):
1 Fe 0.0000 0.0000 0.0000
2 Fe 0.7737 0.2737 0.5000
3 Os 0.2511 0.7511 0.5000
4 Ru 0.5196 0.5196 0.0000

---

[12]
Crystalline Fe2SbOsRu at its relaxed geometry, computed with PBE.

The spin magnetization is 6.932 μB/f.u. As for the symmetry: P4/mmm (123). The value obtained for the energy is -34.505 eV/f.u. The value obtained for the volume is 19.91 Å³ per atom.

Cell lengths 4.6090, 4.6090, 4.6863 Å; angles 90.00, 90.00, 90.00 degrees
Atoms (fractional coordinates):
1 Fe 0.0000 0.5000 0.0000
2 Fe 0.5000 0.0000 0.0000
3 Sb 0.0000 0.0000 0.5000
4 Os 0.5000 0.5000 0.5000
5 Ru 0.5000 0.5000 0.0000

---

[13]
Crystalline FeSi2OsRu at its relaxed geometry, computed with PBE.

The spin magnetization is 1.730 μB/f.u. As for the symmetry: P4/mmm (123). The value obtained for the energy is -33.991 eV/f.u. The value obtained for the volume is 18.97 Å³ per atom.

Cell lengths 4.4670, 4.4670, 4.7534 Å; angles 90.00, 90.00, 90.00 degrees
Atoms (fractional coordinates):
1 Fe 0.0000 0.0000 0.0000
2 Si 0.0000 0.5000 0.5000
3 Si 0.5000 0.0000 0.5000
4 Os 0.0000 0.0000 0.5000
5 Ru 0.5000 0.5000 0.0000

---

[14]
Crystalline TaFeOsRu2 at its relaxed geometry, computed with PBE.

The spin magnetization is 1.350 μB/f.u. As for the symmetry: P4/mmm (123). The value obtained for the volume is 20.38 Å³ per atom. As for the formation energy: 2.234 eV/atom.

Cell lengths 4.6386, 4.6386, 4.7362 Å; angles 90.00, 90.00, 90.00 degrees
Atoms (fractional coordinates):
1 Ta 0.0000 0.0000 0.0000
2 Fe 0.5000 0.5000 0.5000
3 Os 0.0000 0.0000 0.5000
4 Ru 0.0000 0.5000 0.0000
5 Ru 0.5000 0.0000 0.0000

---

[15]
Crystalline TiFeOsRu at its relaxed geometry, computed with PBE.

The spin magnetization is 3.792 μB/f.u. As for the symmetry: F-43m (216). The value obtained for the volume is 14.03 Å³ per atom. As for the formation energy: -0.218 eV/atom.

Cell lengths 4.2975, 4.2975, 4.2975 Å; angles 60.00, 60.00, 60.00 degrees
Atoms (fractional coordinates):
1 Ti 0.0000 0.0000 0.0000
2 Fe 0.5000 0.5000 0.5000
3 Os 0.2500 0.2500 0.2500
4 Ru 0.7500 0.7500 0.7500

---

[16]
Crystalline V5Fe2OsRu2 at its relaxed geometry, computed with PBE.

The spin magnetization is 0.000 μB/f.u. As for the symmetry: P4/mbm (127). The value obtained for the volume is 13.47 Å³ per atom. As for the formation energy: 0.067 eV/atom.

Cell lengths 9.4327, 9.4327, 3.0282 Å; angles 90.00, 90.00, 90.00 degrees
Atoms (fractional coordinates):
1 V 0.0000 0.5000 0.0000
2 V 0.0695 0.2009 0.0000
3 V 0.2009 0.9305 0.0000
4 V 0.2991 0.4305 0.0000
5 V 0.4305 0.7009 0.0000
6 V 0.5000 0.0000 0.0000
7 V 0.5695 0.2991 0.0000
8 V 0.7009 0.5695 0.0000
9 V 0.7991 0.0695 0.0000
10 V 0.9305 0.7991 0.0000
11 Fe 0.1290 0.3710 0.5000
12 Fe 0.3710 0.8710 0.5000
13 Fe 0.6290 0.1290 0.5000
14 Fe 0.8710 0.6290 0.5000
15 Os 0.0000 0.0000 0.5000
16 Os 0.5000 0.5000 0.5000
17 Ru 0.1674 0.6674 0.5000
18 Ru 0.3326 0.1674 0.5000
19 Ru 0.6674 0.8326 0.5000
20 Ru 0.8326 0.3326 0.5000

---

[17]
Crystalline YFe2OsRu at its relaxed geometry, computed with PBE.

The spin magnetization is 6.811 μB/f.u. As for the symmetry: P4/mmm (123). The value obtained for the volume is 20.24 Å³ per atom. As for the formation energy: 1.466 eV/atom.

Cell lengths 4.4727, 4.4727, 5.0596 Å; angles 90.00, 90.00, 90.00 degrees
Atoms (fractional coordinates):
1 Y 0.0000 0.0000 0.0000
2 Fe 0.0000 0.5000 0.5000
3 Fe 0.5000 0.0000 0.5000
4 Os 0.5000 0.5000 0.0000
5 Ru 0.0000 0.0000 0.5000

---

[18]
Crystalline FeOsS2 at its relaxed geometry, computed with PBE.

The spin magnetization is 2.362 μB/f.u. As for the symmetry: Fm-3m (225). The value obtained for the volume is 12.96 Å³ per atom. As for the offset from the most stable computed form: 368 meV per atom.

Cell lengths 4.1852, 4.1852, 4.1852 Å; angles 60.00, 60.00, 60.00 degrees
Atoms (fractional coordinates):
1 Fe 0.0000 0.0000 0.0000
2 Os 0.5000 0.5000 0.5000
3 S 0.2500 0.2500 0.2500
4 S 0.7500 0.7500 0.7500

---

[19]
Crystalline Fe3OsS at its relaxed geometry, computed with PBE.

The spin magnetization is 9.233 μB/f.u. As for the symmetry: Pm-3m (221). The value obtained for the volume is 19.61 Å³ per atom. As for the offset from the most stable computed form: 706 meV per atom.

Cell lengths 4.6116, 4.6116, 4.6116 Å; angles 90.00, 90.00, 90.00 degrees
Atoms (fractional coordinates):
1 Fe 0.0000 0.0000 0.5000
2 Fe 0.0000 0.5000 0.0000
3 Fe 0.5000 0.0000 0.0000
4 Os 0.0000 0.0000 0.0000
5 S 0.5000 0.5000 0.5000

---

[20]
Crystalline Fe3OsS at its relaxed geometry, computed with PBE.

The spin magnetization is 0.014 μB/f.u. As for the symmetry: Pm-3m (221). The value obtained for the volume is 12.93 Å³ per atom. As for the offset from the most stable computed form: 0 meV per atom.

Cell lengths 4.0135, 4.0135, 4.0135 Å; angles 90.00, 90.00, 90.00 degrees
Atoms (fractional coordinates):
1 Fe 0.0000 0.0000 0.5000
2 Fe 0.0000 0.5000 0.0000
3 Fe 0.5000 0.0000 0.0000
4 Os 0.5000 0.5000 0.5000
5 S 0.0000 0.0000 0.0000

---

[21]
Crystalline FeOsS2 at its relaxed geometry, computed with PBE.

The spin magnetization is 1.217 μB/f.u. As for the symmetry: R-3m (166). The value obtained for the volume is 14.04 Å³ per atom. As for the offset from the most stable computed form: 54 meV per atom.

Cell lengths 7.5213, 7.5213, 7.5213 Å; angles 22.82, 22.82, 22.82 degrees
Atoms (fractional coordinates):
1 Fe 0.0000 0.0000 0.0000
2 Os 0.5000 0.5000 0.5000
3 S 0.3983 0.3983 0.3983
4 S 0.6017 0.6017 0.6017

---

[22]
Crystalline FeOsS2 at its relaxed geometry, computed with PBE.

The spin magnetization is 2.400 μB/f.u. As for the symmetry: R-3m (166). The value obtained for the volume is 16.42 Å³ per atom. As for the offset from the most stable computed form: 321 meV per atom.

Cell lengths 7.6008, 7.6008, 7.6008 Å; angles 24.36, 24.36, 24.36 degrees
Atoms (fractional coordinates):
1 Fe 0.0000 0.0000 0.0000
2 Os 0.5000 0.5000 0.5000
3 S 0.0982 0.0982 0.0982
4 S 0.9018 0.9018 0.9018

---

[23]
Crystalline FeOs2S at its relaxed geometry, computed with PBE.

The spin magnetization is 0.000 μB/f.u. As for the symmetry: I-42d (122). The value obtained for the energy is -31.800 eV/f.u. The value obtained for the volume is 17.70 Å³ per atom.

Cell lengths 6.3421, 6.3421, 6.3421 Å; angles 131.13, 131.13, 71.60 degrees
Atoms (fractional coordinates):
1 Fe 0.0000 0.0000 0.0000
2 Fe 0.7500 0.2500 0.5000
3 Os 0.1276 0.6250 0.0026
4 Os 0.3750 0.3776 0.5026
5 Os 0.6224 0.1250 0.9974
6 Os 0.8750 0.8724 0.4974
7 S 0.2500 0.7500 0.5000
8 S 0.5000 0.5000 0.0000

---

[24]
Crystalline FeOsS2 at its relaxed geometry, computed with PBE.

The spin magnetization is 0.855 μB/f.u. As for the symmetry: I-42d (122). The value obtained for the volume is 16.42 Å³ per atom. As for the offset from the most stable computed form: 0 meV per atom.

Cell lengths 6.2339, 6.2339, 6.2339 Å; angles 131.95, 131.95, 70.31 degrees
Atoms (fractional coordinates):
1 Fe 0.0000 0.0000 0.0000
2 Fe 0.7500 0.2500 0.5000
3 Os 0.2500 0.7500 0.5000
4 Os 0.5000 0.5000 0.0000
5 S 0.1076 0.6250 0.9826
6 S 0.3750 0.3576 0.4826
7 S 0.6424 0.1250 0.0174
8 S 0.8750 0.8924 0.5174

---

[25]
Crystalline YFeOsS2 at its relaxed geometry, computed with PBE.

The spin magnetization is 1.340 μB/f.u. As for the symmetry: P4/mmm (123). The value obtained for the energy is -34.033 eV/f.u. The value obtained for the volume is 18.29 Å³ per atom.

Cell lengths 4.5095, 4.5095, 4.4975 Å; angles 90.00, 90.00, 90.00 degrees
Atoms (fractional coordinates):
1 Y 0.0000 0.0000 0.0000
2 Fe 0.5000 0.5000 0.5000
3 Os 0.5000 0.5000 0.0000
4 S 0.0000 0.5000 0.5000
5 S 0.5000 0.0000 0.5000

---

[26]
Crystalline ZrFe2OsS at its relaxed geometry, computed with PBE.

The spin magnetization is 3.115 μB/f.u. As for the symmetry: P4/mmm (123). The value obtained for the energy is -40.086 eV/f.u. The value obtained for the volume is 15.32 Å³ per atom.

Cell lengths 4.1690, 4.1690, 4.4077 Å; angles 90.00, 90.00, 90.00 degrees
Atoms (fractional coordinates):
1 Zr 0.0000 0.0000 0.0000
2 Fe 0.0000 0.5000 0.5000
3 Fe 0.5000 0.0000 0.5000
4 Os 0.5000 0.5000 0.0000
5 S 0.5000 0.5000 0.5000

---

[27]
Crystalline FeSbOs2 at its relaxed geometry, computed with PBE.

The spin magnetization is 1.791 μB/f.u. As for the symmetry: P4mm (99). The value obtained for the energy is -33.054 eV/f.u. The value obtained for the volume is 15.32 Å³ per atom.

Cell lengths 2.9394, 2.9394, 7.0939 Å; angles 90.00, 90.00, 90.00 degrees
Atoms (fractional coordinates):
1 Fe 0.0000 0.0000 0.0000
2 Sb 0.5000 0.5000 0.7516
3 Os 0.0000 0.0000 0.4702
4 Os 0.5000 0.5000 0.2326

---

[28]
Crystalline FeSbOs2 at its relaxed geometry, computed with PBE.

The spin magnetization is 1.046 μB/f.u. As for the symmetry: I-4m2 (119). The value obtained for the energy is -33.087 eV/f.u. The value obtained for the volume is 14.89 Å³ per atom.

Cell lengths 4.7815, 4.7815, 4.7815 Å; angles 131.77, 131.77, 70.59 degrees
Atoms (fractional coordinates):
1 Fe 0.0000 0.0000 0.0000
2 Sb 0.7500 0.2500 0.5000
3 Os 0.2500 0.7500 0.5000
4 Os 0.5000 0.5000 0.0000